First-principles (PBE-GGA) data for an optimized crystal structure of CsCeGaO4, as listed in Alexandria via LeMat-Bulk.

As for the raw formation energy: -2.381 eV per atom. Its magnetic moment is 0.00 μB per atom.

The structure belongs to space group P2_1/m (No. 11); the cell edges are 5.766, 5.923 and 7.998 Å and the angles 90.00°, 94.03° and 90.00°. The distinct sites, in fractional coordinates, are Cs at (0.230, 0.250, 0.103), Ce at (0.199, 0.750, 0.466), Ga at (0.328, 0.250, 0.662), O at (0.110, 0.015, 0.661), O at (0.385, 0.750, 0.224) and O at (0.436, 0.250, 0.442).